No. 1
DFT (PBE) results for a relaxed structure of Co2TeSe.

Properties
E_tot: -40.207 eV per cell
space-group type: Imm2

Unit cell a=3.101 b=3.621 c=13.803 alpha=90.00 beta=90.00 gamma=90.00
Sites, in units of the cell vectors:
Co 0.000 0.000 0.000
Co 0.000 0.500 0.114
Co 0.500 0.000 0.614
Co 0.500 0.500 0.500
Te 0.000 0.000 0.415
Te 0.500 0.500 0.915
Se 0.000 0.500 0.652
Se 0.500 0.000 0.152



No. 2
DFT (PBE) results for a relaxed structure of K3Hg2RhO6.

Properties
E_tot: -50.987 eV per cell
space-group type: C2/m

Unit cell a=6.045 b=6.045 c=6.264 alpha=99.34 beta=99.34 gamma=119.89
Sites, in units of the cell vectors:
K 0.000 0.000 0.000
K 0.327 0.673 0.000
K 0.673 0.327 0.000
Hg 0.166 0.834 0.500
Hg 0.834 0.166 0.500
Rh 0.500 0.500 0.500
O 0.158 0.437 0.313
O 0.287 0.287 0.689
O 0.437 0.158 0.313
O 0.563 0.842 0.687
O 0.713 0.713 0.311
O 0.842 0.563 0.687



No. 3
DFT (PBE) results for a relaxed structure of ZnSiTe2.

Properties
E_tot: -33.594 eV per cell
space-group type: R-3m

Unit cell a=3.614 b=3.614 c=28.344 alpha=90.00 beta=90.00 gamma=120.00
Sites, in units of the cell vectors:
Zn 0.000 0.000 0.000
Zn 0.333 0.667 0.667
Zn 0.667 0.333 0.333
Si 0.000 0.000 0.500
Si 0.333 0.667 0.167
Si 0.667 0.333 0.833
Te 0.000 0.000 0.398
Te 0.000 0.000 0.602
Te 0.333 0.667 0.065
Te 0.333 0.667 0.268
Te 0.667 0.333 0.732
Te 0.667 0.333 0.935



No. 4
DFT (PBE) results for a relaxed structure of DyTh3C2.

Properties
formation energy: -0.23 eV/atom
space-group type: C2/m

Unit cell a=8.431 b=8.431 c=12.591 alpha=128.56 beta=128.56 gamma=24.94
Sites, in units of the cell vectors:
Dy 0.139 0.139 0.200
Dy 0.861 0.861 0.800
Th 0.139 0.139 0.698
Th 0.364 0.364 0.551
Th 0.366 0.366 0.057
Th 0.634 0.634 0.943
Th 0.636 0.636 0.449
Th 0.861 0.861 0.302
C 0.244 0.244 0.120
C 0.252 0.252 0.626
C 0.748 0.748 0.374
C 0.756 0.756 0.880



No. 5
DFT (PBE) results for a relaxed structure of CsTl2TePt.

Properties
E_tot: -16.102 eV per cell
space-group type: P4/mmm

Unit cell a=5.402 b=5.402 c=6.010 alpha=90.00 beta=90.00 gamma=90.00
Sites, in units of the cell vectors:
Cs 0.000 0.000 0.000
Tl 0.000 0.500 0.500
Tl 0.500 0.000 0.500
Te 0.500 0.500 0.000
Pt 0.500 0.500 0.500



No. 6
DFT (PBE) results for a relaxed structure of BaInSb2.

Properties
E_tot: -14.716 eV per cell
space-group type: P4/mmm

Unit cell a=5.017 b=5.017 c=5.037 alpha=90.00 beta=90.00 gamma=90.00
Sites, in units of the cell vectors:
Ba 0.000 0.000 0.000
In 0.500 0.500 0.000
Sb 0.000 0.500 0.500
Sb 0.500 0.000 0.500